Entry 1:
## YZnPt2Cl (meta-GGA SCAN)

Data for YZnPt2Cl at its PBEsol-relaxed geometry.

Results
space-group type = No. 123
formation energy without anion corrections = 0.255 eV per atom
Fermi-level density of states = 0.58 states/eV per atom
crystal system = tetragonal

Cell: 4.9675 5.1317 5.1317 Å, 90.00 90.00 90.00°
Last column: nearest neighbours and their distance in Å.
Element x y z (fractional)
Pt (0.0000, 0.5000, 0.0000)  2 Y 2.57
Pt (0.0000, 0.0000, 0.5000)  2 Y 2.57
Zn (0.5000, 0.5000, 0.5000)  8 Pt 3.57, 4 Cl 3.63
Cl (0.5000, 0.0000, 0.0000)  2 Y 2.48
Y (0.0000, 0.0000, 0.0000)  2 Cl 2.48, 4 Pt 2.57



Entry 2:
## Zn2PtCl (meta-GGA SCAN)

Data for Zn2PtCl at its PBEsol-relaxed geometry.

Results
space-group type = No. 71
formation energy without anion corrections = -0.117 eV per atom
Fermi-level density of states = 0.14 states/eV per atom
crystal system = orthorhombic
energy above the lowest structure with this stoichiometry = 162 meV/atom

Cell: 3.0286 5.2464 5.2464 Å, 73.75 73.22 73.22°
Last column: nearest neighbours and their distance in Å.
Element x y z (fractional)
Pt (0.0000, 0.5000, 0.5000)  4 Zn 2.48
Zn (0.7508, 0.2492, 0.2492)  2 Cl 2.47, 2 Pt 2.48
Zn (0.2492, 0.7508, 0.7508)  2 Cl 2.47, 2 Pt 2.48
Cl (0.5000, 0.0000, 0.0000)  4 Zn 2.47



Entry 3:
## ZnPtCl (meta-GGA SCAN)

Data for ZnPtCl at its PBEsol-relaxed geometry.

Results
space-group type = No. 107
formation energy without anion corrections = -0.118 eV per atom
Fermi-level density of states = 0.33 states/eV per atom
crystal system = tetragonal

Cell: 2.9507 2.9507 5.8924 Å, 104.50 104.50 90.00°
Last column: nearest neighbours and their distance in Å.
Element x y z (fractional)
Zn (0.3262, 0.3262, 0.6524)  4 Pt 2.59, 4 Cl 2.74
Pt (0.6867, 0.6867, 0.3734)  4 Zn 2.59
Cl (0.9871, 0.9871, 0.9741)  4 Zn 2.74, 4 Cl 2.95, 4 Pt 3.03